# LuPuNiOs

An optimized crystal structure of LuPuNiOs (GGA-PBE, Alexandria).

Calculated values
The space group is F-43m, No. 216. The magnetic moment is 4.536 μB/f.u. As for the calculated total energy: -9.17 eV/atom. For the density of states at the Fermi level, the calculation gives 8.3 states/eV/cell.

Lattice parameters (Å, degrees): 4.7360 4.7360 4.7360 60.00 60.00 60.00
Atoms (fractional coordinates):
Lu: 0.0000 0.0000 0.0000
Pu: 0.5000 0.5000 0.5000
Ni: 0.7500 0.7500 0.7500
Os: 0.2500 0.2500 0.2500


# LuTiNiOs

An optimized crystal structure of LuTiNiOs (GGA-PBE, Alexandria).

Calculated values
The space group is F-43m, No. 216. The magnetic moment is 0.001 μB/f.u. As for the calculated total energy: -7.75 eV/atom. For the density of states at the Fermi level, the calculation gives 2.7 states/eV/cell.

Lattice parameters (Å, degrees): 4.5144 4.5144 4.5144 60.00 60.00 60.00
Atoms (fractional coordinates):
Lu: 0.0000 0.0000 0.0000
Ti: 0.5000 0.5000 0.5000
Ni: 0.7500 0.7500 0.7500
Os: 0.2500 0.2500 0.2500


# TmLuNiOs

An optimized crystal structure of TmLuNiOs (GGA-PBE, Alexandria).

Calculated values
The space group is F-43m, No. 216. The magnetic moment is 0.000 μB/f.u. As for the calculated total energy: -6.90 eV/atom. For the density of states at the Fermi level, the calculation gives 1.6 states/eV/cell.

Lattice parameters (Å, degrees): 4.7151 4.7151 4.7151 60.00 60.00 60.00
Atoms (fractional coordinates):
Tm: 0.0000 0.0000 0.0000
Lu: 0.5000 0.5000 0.5000
Ni: 0.2500 0.2500 0.2500
Os: 0.7500 0.7500 0.7500